(1)
First-principles (PBE) data for a relaxed structure of CuTeOF2, as listed in Alexandria.

abc: 4.569 4.569 4.076
angles: 90.00 90.00 90.00
Positions (direct):
1 Cu 0.000 0.000 0.000
2 Te 0.500 0.500 0.500
3 O 0.500 0.500 0.000
4 F 0.000 0.500 0.500
5 F 0.500 0.000 0.500

## Properties
Its raw formation energy is -0.614 eV per atom. The calculation puts the total magnetization at 0.00 Bohr magnetons per cell.

***

(2)
First-principles (PBE) data for a relaxed structure of CuTeO2F, as listed in Alexandria.

abc: 4.169 4.169 4.392
angles: 90.00 90.00 90.00
Positions (direct):
1 Cu 0.000 0.000 0.000
2 Te 0.500 0.500 0.500
3 O 0.000 0.500 0.500
4 O 0.500 0.000 0.500
5 F 0.500 0.500 0.000

## Properties
Its raw formation energy is -0.498 eV per atom. The calculation puts the total magnetization at 0.00 Bohr magnetons per cell.